# 1
Below is a relaxed CsHg2I2 crystal, with properties calculated at the PBE level.

Cell lengths 9.7769, 9.7769, 4.5664 Å; angles 90.00, 90.00, 90.00 degrees
Space group P4/mbm (No. 127)
Inequivalent atoms, fractional coordinates:
1 Cs 0.0000 0.0000 0.0000 [2 per cell]
2 Hg 0.1318 0.3682 0.5000 [4 per cell]
3 I 0.1577 0.6577 0.0000 [4 per cell]

Output
As for the total energy: -0.1011 Ry per atom. As for the energy above the lowest structure with this stoichiometry: 0.156 eV per atom. The value obtained for the uncorrected formation energy is -0.464 eV/atom. The value obtained for the size of the total moment is 0.00 μB per formula unit.

***

# 2
Below is a relaxed CsHg3I crystal, with properties calculated at the PBE level.

Cell lengths 7.0858, 7.0858, 7.0858 Å; angles 90.00, 90.00, 90.00 degrees
Space group Pm-3m (No. 221)
Inequivalent atoms, fractional coordinates:
1 Cs 0.0000 0.0000 0.0000 [1 per cell]
2 Hg 0.0000 0.5000 0.5000 [3 per cell]
3 I 0.5000 0.5000 0.5000 [1 per cell]

Output
As for the total energy: -0.0640 Ry per atom. The value obtained for the uncorrected formation energy is -0.209 eV/atom. The value obtained for the size of the total moment is 0.00 μB per formula unit.

***

# 3
Below is a relaxed Cs4HgI4 crystal, with properties calculated at the PBE level.

Cell lengths 11.3773, 11.3773, 8.2472 Å; angles 90.00, 90.00, 90.00 degrees
Space group P4_2/nmc (No. 137, origin choice 2)
Inequivalent atoms, fractional coordinates:
1 Cs 0.0107 0.2500 0.0159 [8 per cell]
2 Hg 0.2500 0.7500 0.2500 [2 per cell]
3 I 0.0091 0.2500 0.4836 [8 per cell]

Output
As for the total energy: -0.1780 Ry per atom. The value obtained for the uncorrected formation energy is -1.321 eV/atom. The value obtained for the size of the total moment is 0.00 μB per formula unit.

***

# 4
Below is a relaxed Cs3Hg5I12 crystal, with properties calculated at the PBE level.

Cell lengths 19.8032, 19.8032, 19.8032 Å; angles 90.00, 90.00, 90.00 degrees
Space group Ia-3d (No. 230)
Inequivalent atoms, fractional coordinates:
1 Cs 0.0000 0.2500 0.1250 [24 per cell]
2 Hg 0.0000 0.0000 0.0000 [16 per cell]
3 Hg 0.0000 0.2500 0.3750 [24 per cell]
4 I 0.0357 0.0503 0.6455 [96 per cell]

Output
As for the total energy: -0.1302 Ry per atom. The value obtained for the uncorrected formation energy is -0.638 eV/atom. The value obtained for the size of the total moment is 0.00 μB per formula unit.

***

# 5
Below is a relaxed Cs3HgI3 crystal, with properties calculated at the PBE level.

Cell lengths 11.5304, 11.5304, 23.3473 Å; angles 90.00, 90.00, 120.00 degrees
Space group R-3 (No. 148, hexagonal axes)
Inequivalent atoms, fractional coordinates:
1 Cs 0.9997 0.3324 0.4163 [18 per cell]
2 Hg 0.0000 0.0000 0.1658 [6 per cell]
3 I 0.9996 0.3342 0.5830 [18 per cell]

Output
As for the total energy: -0.1733 Ry per atom. As for the energy above the lowest structure with this stoichiometry: 0.000 eV per atom. The value obtained for the uncorrected formation energy is -1.285 eV/atom. The value obtained for the size of the total moment is 0.00 μB per formula unit.

***

# 6
Below is a relaxed Cs2Hg3I9 crystal, with properties calculated at the PBE level.

Cell lengths 10.7826, 24.2387, 11.8263 Å; angles 90.00, 101.43, 90.00 degrees
Space group C2/m (No. 12)
Inequivalent atoms, fractional coordinates:
1 Cs 0.1641 0.1479 0.3423 [8 per cell]
2 Hg 0.1414 0.3494 0.1586 [8 per cell]
3 Hg 0.1790 0.5000 0.8635 [4 per cell]
4 I 0.0000 0.2707 0.0000 [4 per cell]
5 I 0.0133 0.4150 0.7225 [8 per cell]
6 I 0.0868 0.0000 0.2292 [4 per cell]
7 I 0.1859 0.2056 0.6622 [8 per cell]
8 I 0.2083 0.0886 0.9677 [8 per cell]
9 I 0.2290 0.0000 0.4970 [4 per cell]

Output
As for the total energy: -0.1290 Ry per atom. The value obtained for the uncorrected formation energy is -0.572 eV/atom. The value obtained for the size of the total moment is 1.01 μB per formula unit.

***

# 7
Below is a relaxed Cs2HgI5 crystal, with properties calculated at the PBE level.

Cell lengths 8.9234, 8.9234, 10.0784 Å; angles 90.00, 90.00, 90.00 degrees
Space group I4mm (No. 107)
Inequivalent atoms, fractional coordinates:
1 Cs 0.0000 0.5000 0.0000 [4 per cell]
2 Hg 0.0000 0.0000 0.3062 [2 per cell]
3 I 0.0000 0.0000 0.6094 [2 per cell]
4 I 0.2285 0.2285 0.2480 [8 per cell]

Output
As for the total energy: -0.1510 Ry per atom. The value obtained for the uncorrected formation energy is -0.835 eV/atom. The value obtained for the size of the total moment is 0.00 μB per formula unit.

***

# 8
Below is a relaxed Cs3Hg2I7 crystal, with properties calculated at the PBE level.

Cell lengths 6.2132, 30.2489, 6.0429 Å; angles 90.00, 90.00, 90.00 degrees
Space group Cmmm (No. 65)
Inequivalent atoms, fractional coordinates:
1 Cs 0.0000 0.0000 0.0000 [2 per cell]
2 Cs 0.0000 0.1781 0.0000 [4 per cell]
3 Hg 0.0000 0.3972 0.5000 [4 per cell]
4 I 0.0000 0.0945 0.5000 [4 per cell]
5 I 0.0000 0.3000 0.5000 [4 per cell]
6 I 0.0000 0.4050 0.0000 [4 per cell]
7 I 0.0000 0.5000 0.5000 [2 per cell]

Output
As for the total energy: -0.1502 Ry per atom. The value obtained for the uncorrected formation energy is -0.876 eV/atom. The value obtained for the size of the total moment is 0.00 μB per formula unit.

***

# 9
Below is a relaxed Cs6HgI8 crystal, with properties calculated at the PBE level.

Cell lengths 11.2343, 11.2343, 22.3454 Å; angles 90.00, 90.00, 120.00 degrees
Space group R-3 (No. 148, hexagonal axes)
Inequivalent atoms, fractional coordinates:
1 Cs 0.0228 0.6189 0.4200 [18 per cell]
2 Hg 0.0000 0.0000 0.5000 [3 per cell]
3 I 0.0000 0.0000 0.1521 [6 per cell]
4 I 0.0120 0.7779 0.5805 [18 per cell]

Output
As for the total energy: -0.1798 Ry per atom. The value obtained for the uncorrected formation energy is -1.257 eV/atom. The value obtained for the size of the total moment is 0.00 μB per formula unit.

***

# 10
Below is a relaxed Cs3Hg2I6 crystal, with properties calculated at the PBE level.

Cell lengths 6.0115, 6.0115, 31.0956 Å; angles 90.00, 90.00, 90.00 degrees
Space group I4/mmm (No. 139)
Inequivalent atoms, fractional coordinates:
1 Cs 0.0000 0.0000 0.0000 [2 per cell]
2 Cs 0.0000 0.0000 0.1759 [4 per cell]
3 Hg 0.0000 0.0000 0.3982 [4 per cell]
4 I 0.0000 0.0000 0.3012 [4 per cell]
5 I 0.0000 0.5000 0.0840 [8 per cell]

Output
As for the total energy: -0.1541 Ry per atom. The value obtained for the uncorrected formation energy is -0.963 eV/atom. The value obtained for the size of the total moment is 0.00 μB per formula unit.

***

# 11
Below is a relaxed Cs2Hg2I5 crystal, with properties calculated at the PBE level.

Cell lengths 24.6296, 8.9344, 8.5654 Å; angles 90.00, 90.00, 90.00 degrees
Space group Ima2 (No. 46)
Inequivalent atoms, fractional coordinates:
1 Cs 0.1033 0.0090 0.0000 [8 per cell]
2 Hg 0.0000 0.0000 0.4993 [4 per cell]
3 Hg 0.2500 0.5672 0.0212 [4 per cell]
4 I 0.0027 0.7493 0.2494 [8 per cell]
5 I 0.1449 0.0388 0.4836 [8 per cell]
6 I 0.2500 0.6259 0.3828 [4 per cell]

Output
As for the total energy: -0.1433 Ry per atom. The value obtained for the uncorrected formation energy is -0.832 eV/atom. The value obtained for the size of the total moment is 0.00 μB per formula unit.

***

# 12
Below is a relaxed Cs4HgI crystal, with properties calculated at the PBE level.

Cell lengths 12.5441, 17.8849, 9.1463 Å; angles 90.00, 126.11, 90.00 degrees
Space group C2/c (No. 15)
Inequivalent atoms, fractional coordinates:
1 Cs 0.1273 0.1813 0.1021 [8 per cell]
2 Cs 0.1987 0.4441 0.2574 [8 per cell]
3 Hg 0.0000 0.0020 0.2500 [4 per cell]
4 I 0.0000 0.3675 0.7500 [4 per cell]

Output
As for the total energy: -0.1034 Ry per atom. The value obtained for the uncorrected formation energy is -0.530 eV/atom. The value obtained for the size of the total moment is 0.00 μB per formula unit.